# Cu3P4S4I3

A relaxed Cu3P4S4I3 crystal (GGA-PBEsol, Alexandria via LeMat-Bulk).

a b c (Å): 19.0466 19.0466 6.6241
angles (deg): 90.00 90.00 120.00
Space group P6_3cm (No. 185)
Symmetry-distinct sites (fractional):
Cu (0.0000, 0.1268, 0.0000)
Cu (0.2050, 0.5375, 0.3333)
P (0.0000, 0.2357, 0.0963)
P (0.0000, 0.4007, 0.9954)
P (0.0929, 0.4286, 0.2452)
S (0.0000, 0.3057, 0.8454)
S (0.0000, 0.4120, 0.4520)
S (0.1041, 0.3237, 0.2519)
I (0.0000, 0.1307, 0.6096)
I (0.2008, 0.5351, 0.7275)

Output
The calculation puts the energy relative to the elements, uncorrected at -0.204 eV per atom.